Entry 1:
{
  "formula": "Mg2ZrIr",
  "functional": "GGA-PBE",
  "state": "optimized geometry",
  "mass_density_g_cm3": 6.93,
  "crystal_system": "tetragonal",
  "lattice_angstrom": [[3.935, 0.000, 0.000], [0.000, 3.935, 0.000], [1.967, 1.967, 10.275]],
  "species": ["Mg", "Mg", "Mg", "Mg", "Ir", "Ir", "Zr", "Zr"],
  "frac_coords": [[0.109, 0.625, 0.250], [0.641, 0.125, 0.250], [0.375, 0.359, 0.750], [0.875, 0.891, 0.750], [0.000, 0.000, 0.000], [0.750, 0.250, 0.500], [0.250, 0.750, 0.500], [0.500, 0.500, 0.000]]
}


Entry 2:
{
  "formula": "MgZr4Ir5",
  "functional": "GGA-PBE",
  "state": "optimized geometry",
  "mass_density_g_cm3": 12.70,
  "crystal_system": "tetragonal",
  "lattice_angstrom": [[-1.961, -1.981, -1.900], [2.739, -1.572, -1.187], [-0.866, -10.268, 11.603]],
  "species": ["Ir", "Ir", "Ir", "Ir", "Ir", "Zr", "Zr", "Zr", "Zr", "Mg"],
  "frac_coords": [[0.500, 0.500, 0.901], [0.500, 0.500, 0.298], [0.500, 0.500, 0.702], [0.500, 0.500, 0.500], [0.500, 0.500, 0.099], [0.000, 0.000, 0.602], [0.000, 0.000, 0.191], [0.000, 0.000, 0.398], [0.000, 0.000, 0.809], [0.000, 0.000, 0.000]]
}


Entry 3:
{
  "formula": "MgZrIr3",
  "functional": "GGA-PBE",
  "state": "optimized geometry",
  "relative_energy_mev_per_atom": 0,
  "mass_density_g_cm3": 12.84,
  "crystal_system": "cubic",
  "lattice_angstrom": [[-1.691, -4.138, -0.161], [3.828, -1.495, -1.767], [1.580, -0.806, 4.106]],
  "species": ["Ir", "Ir", "Ir", "Zr", "Mg"],
  "frac_coords": [[0.500, 0.000, 0.000], [0.000, 0.000, 0.500], [0.000, 0.500, 0.000], [0.500, 0.500, 0.500], [0.000, 0.000, 0.000]]
}


Entry 4:
{
  "formula": "Mg2ZrIr",
  "functional": "GGA-PBE",
  "state": "optimized geometry",
  "mass_density_g_cm3": 7.20,
  "crystal_system": "monoclinic",
  "lattice_angstrom": [[5.140, 0.013, 0.030], [4.203, 2.958, 0.030], [1.303, 0.414, 5.064]],
  "species": ["Ir", "Zr", "Mg", "Mg"],
  "frac_coords": [[0.261, 0.261, 0.293], [0.523, 0.523, 0.449], [0.973, 0.973, 0.985], [0.744, 0.744, 0.772]]
}


Entry 5:
{
  "formula": "Mg2ZrIr",
  "functional": "GGA-PBE",
  "state": "optimized geometry",
  "mass_density_g_cm3": 6.95,
  "crystal_system": "trigonal",
  "lattice_angstrom": [[9.769, -0.005, -0.003], [9.283, 3.045, -0.003], [9.283, 1.481, 2.660]],
  "species": ["Mg", "Mg", "Ir", "Zr"],
  "frac_coords": [[0.010, 0.010, 0.010], [0.249, 0.249, 0.249], [0.750, 0.750, 0.750], [0.490, 0.490, 0.490]]
}


Entry 6:
{
  "formula": "Mg2ZrIr",
  "functional": "GGA-PBE",
  "state": "optimized geometry",
  "mass_density_g_cm3": 7.53,
  "crystal_system": "orthorhombic",
  "lattice_angstrom": [[-2.965, 0.078, 0.142], [0.153, -1.618, 4.081], [0.236, 5.217, 2.060]],
  "species": ["Ir", "Mg", "Mg", "Zr"],
  "frac_coords": [[0.500, 0.500, 0.750], [0.000, 0.000, 0.980], [0.000, 0.000, 0.520], [0.500, 0.500, 0.250]]
}


Entry 7:
{
  "formula": "MgZrIr",
  "functional": "GGA-PBE",
  "state": "optimized geometry",
  "mass_density_g_cm3": 9.43,
  "crystal_system": "trigonal",
  "lattice_angstrom": [[-0.592, 1.881, 4.111], [-0.725, -4.462, -0.591], [2.881, -0.557, 0.670]],
  "species": ["Ir", "Mg", "Zr"],
  "frac_coords": [[0.000, 0.000, 0.028], [0.333, 0.667, 0.266], [0.667, 0.333, 0.706]]
}


Entry 8:
{
  "formula": "MgZrIr",
  "functional": "GGA-PBE",
  "state": "optimized geometry",
  "mass_density_g_cm3": 7.88,
  "crystal_system": "cubic",
  "lattice_angstrom": [[-3.844, -1.860, -1.449], [-0.624, -4.452, 0.352], [-2.975, -1.632, 2.970]],
  "species": ["Ir", "Mg", "Zr"],
  "frac_coords": [[0.000, 0.000, 0.000], [0.500, 0.500, 0.500], [0.750, 0.750, 0.750]]
}


How do the records compare in energy relative to the elements? In the order shown, they have -41, -753, 706, -220, -131, -163, -391, 180 meV per atom.